First-principles (meta-GGA SCAN) data for a crystal of ZrRu2Rh relaxed with PBEsol, as listed in the Alexandria database.

Properties
For the total magnetization, the calculation gives 0.00 μB/f.u. The density of states at the Fermi level is 3.082 states/eV/f.u. As for the formation energy: -0.237 eV/atom.

Cell lengths 9.1307, 2.8429, 4.7307 Å; angles 90.00, 101.11, 90.00 degrees
With the nearest neighbours (Å) after each atom.
Space group Cm (No. 8)
Asymmetric unit:
Zr  0.0000  0.0000  0.0000 [2 per cell]  3 Rh 2.70-2.79, 7 Ru 2.71-2.88, 2 Zr 2.84
Ru  0.2582  0.5000  0.2986 [2 per cell]  2 Rh 2.61, 5 Ru 2.62-2.84, 3 Zr 2.84-2.88
Ru  0.4981  0.0000  0.4867 [2 per cell]  5 Ru 2.62-2.84, 4 Zr 2.71-2.81, 3 Rh 2.75-2.85
Rh  0.2439  0.0000  0.7546 [2 per cell]  5 Ru 2.61-2.85, 3 Zr 2.70-2.79, 2 Rh 2.84